CdInPbI5, relaxed, DFT GGA-PBE; energy relative to the elements, uncorrected = -548 meV per atom; spin magnetization = 0.00 Bohr magnetons per cell; final energy = -2.437 eV/atom; SG = No. 15
1.0
-3.913 7.598 -1.132
-4.653 -5.644 -4.563
-2.114 -2.740 11.033
Cd I In Pb
2 10 2 2
Direct
0.321 0.679 0.750
0.679 0.321 0.250
0.653 0.073 0.372
0.620 0.732 0.951
0.732 0.620 0.451
0.900 0.100 0.750
0.347 0.927 0.628
0.268 0.380 0.549
0.380 0.268 0.049
0.100 0.900 0.250
0.927 0.347 0.128
0.073 0.653 0.872
0.348 0.652 0.250
0.652 0.348 0.750
0.000 0.000 0.500
0.000 0.000 0.000

=====

ZnCr2Si, relaxed, DFT GGA-PBE; energy relative to the elements, uncorrected = 74 meV per atom; spin magnetization = 0.00 Bohr magnetons per cell; final energy = -6.412 eV/atom; SG = No. 10
1.0
3.863 0.000 0.000
0.000 2.560 0.020
0.000 2.229 5.067
Si Zn Cr
1 1 2
Direct
0.500 0.250 0.250
0.500 0.750 0.750
0.000 0.439 0.471
0.000 0.061 0.029

=====

SrAg2Br2, relaxed, DFT GGA-PBE; energy relative to the elements, uncorrected = -478 meV per atom; spin magnetization = 0.00 Bohr magnetons per cell; final energy = -2.624 eV/atom; SG = No. 127; energy above the most stable polymorph in this dataset = 0.170 eV/atom
1.0
-1.418 -3.884 -6.851
2.053 -6.903 3.488
-4.309 -0.646 1.258
Sr Ag Br
2 4 4
Direct
0.000 0.000 0.000
0.500 0.500 0.000
0.385 0.885 0.000
0.615 0.115 0.000
0.115 0.385 0.000
0.885 0.615 0.000
0.272 0.228 0.500
0.228 0.728 0.500
0.728 0.772 0.500
0.772 0.272 0.500

=====

NaSnB, relaxed, DFT GGA-PBE; spin magnetization = 0.00 Bohr magnetons per cell; final energy = -3.788 eV/atom; SG = No. 2; DFT formation energy = 211 meV per atom
1.0
3.942 0.002 -0.004
0.008 5.904 0.065
-3.950 -2.164 5.582
Sn Na B
2 2 2
Direct
0.990 0.645 0.465
0.571 0.217 0.047
0.519 0.198 0.492
0.043 0.664 0.020
0.660 0.809 0.635
0.901 0.053 0.877

=====

PI2O2, relaxed, DFT GGA-PBE; energy relative to the elements, uncorrected = 435 meV per atom; spin magnetization = 0.00 Bohr magnetons per cell; final energy = -3.250 eV/atom; SG = No. 123; energy above the most stable polymorph in this dataset = 0.135 eV/atom
1.0
-0.847 1.020 -5.363
-4.089 -3.714 -0.060
-2.224 2.435 0.814
P O I
1 2 2
Direct
0.000 0.000 0.000
0.500 0.500 0.500
0.000 0.000 0.500
0.500 0.000 0.000
0.000 0.500 0.000

=====

GaNi2C, relaxed, DFT GGA-PBE; spin magnetization = 0.00 Bohr magnetons per cell; final energy = -5.135 eV/atom; SG = No. 225; DFT formation energy = 818 meV per atom
1.0
0.000 2.759 2.759
2.759 0.000 2.759
2.759 2.759 0.000
Ga C Ni
1 1 2
Direct
0.500 0.500 0.500
0.000 0.000 0.000
0.750 0.750 0.750
0.250 0.250 0.250

=====

Ca3Th3OsN8, relaxed, DFT GGA-PBE; energy relative to the elements, uncorrected = -949 meV per atom; spin magnetization = 0.00 Bohr magnetons per cell; final energy = -8.022 eV/atom; SG = No. 166
1.0
7.031 0.000 0.000
-3.515 6.089 -0.021
0.000 -4.039 5.717
N Th Ca Os
8 3 3 1
Direct
0.227 0.014 0.301
0.787 0.574 0.301
0.213 0.986 0.699
0.787 0.014 0.301
0.255 0.509 0.264
0.745 0.491 0.736
0.213 0.426 0.699
0.773 0.986 0.699
0.500 0.000 0.500
0.500 0.500 0.500
0.000 0.500 0.500
0.000 0.500 0.000
0.500 0.500 0.000
0.000 0.000 0.000
0.000 0.000 0.500

=====

TaAgO2, relaxed, DFT GGA-PBE; energy relative to the elements, uncorrected = -1390 meV per atom; spin magnetization = 0.00 Bohr magnetons per cell; final energy = -7.545 eV/atom; SG = No. 141
1.0
6.148 0.000 0.000
0.000 6.148 0.000
3.074 3.074 4.389
Ag O Ta
2 4 2
Direct
0.500 0.500 0.000
0.250 0.750 0.500
0.875 0.625 0.250
0.875 0.125 0.250
0.875 0.125 0.750
0.375 0.125 0.750
0.750 0.250 0.500
0.000 0.000 0.000